This record from Alexandria via LeMat-Bulk describes a relaxed Cs2KIn crystal. The functional is GGA-PBE.

The structure belongs to space group Fm-3m (No. 225); the cell edges are 9.930, 9.930 and 9.930 Å and the angles 90.00°, 90.00° and 90.00°. The distinct sites, in fractional coordinates, are Cs at (0.250, 0.250, 0.250), K at (0.000, 0.000, 0.000) and In at (0.000, 0.000, 0.500).

The magnetic moment comes out at 1.8 μB/f.u. Its formation energy from the elements is 0.102 eV per atom.